(1)
# HfNbGe

HfNbGe after structural relaxation (PBE, Alexandria).

POSCAR file:
```
HfNbGe
1.0
4.513 0.000 0.000
0.000 3.552 0.000
0.000 0.000 13.672
Hf Nb Ge
4 4 4
Direct
0.500 0.000 0.685 Hf
0.500 0.500 0.185 Hf
0.000 0.000 0.873 Hf
0.000 0.500 0.373 Hf
0.000 0.000 0.548 Nb
0.000 0.500 0.048 Nb
0.500 0.000 0.357 Nb
0.500 0.500 0.857 Nb
0.500 0.000 0.011 Ge
0.500 0.500 0.511 Ge
0.000 0.000 0.212 Ge
0.000 0.500 0.712 Ge
```

space-group type	Amm2, No. 38
magnetic moment	0.0	Bohr magnetons per cell
ΔH_f (0 K)	-1.1	eV/f.u.
DOS(E_F)	2.25	states/eV/f.u.


(2)
# BaCo2Ni

BaCo2Ni after structural relaxation (PBE, Alexandria).

POSCAR file:
```
BaCo2Ni
1.0
2.251 -3.847 -1.038
1.972 -2.463 3.315
-1.747 -4.062 1.180
Ni Co Ba
1 2 1
Direct
0.000 0.000 0.000 Ni
0.250 0.250 0.250 Co
0.750 0.750 0.750 Co
0.500 0.500 0.500 Ba
```

offset from the most stable computed form	0.866	eV/atom
space-group type	Fm-3m, No. 225
magnetic moment	2.0	Bohr magnetons per cell
ΔH_f (0 K)	4.1	eV/f.u.
DOS(E_F)	9.90	states/eV/f.u.


(3)
# ScBe2HgAs

ScBe2HgAs after structural relaxation (PBE, Alexandria).

POSCAR file:
```
ScBe2HgAs
1.0
-0.994 3.655 -3.448
1.388 -3.084 -3.670
-4.819 -1.690 -0.402
Sc Be As Hg
1 2 1 1
Direct
0.000 0.000 0.000 Sc
0.000 0.000 0.500 Be
0.500 0.000 0.000 Be
0.000 0.500 0.000 As
0.500 0.500 0.500 Hg
```

space-group type	P4/mmm, No. 123
magnetic moment	0.4	Bohr magnetons per cell
ΔH_f (0 K)	5.5	eV/f.u.
DOS(E_F)	4.68	states/eV/f.u.


(4)
# Pr2CuTc

Pr2CuTc after structural relaxation (PBE, Alexandria).

POSCAR file:
```
Pr2CuTc
1.0
-0.001 -1.161 3.369
1.071 -3.213 -1.107
6.990 2.082 0.720
Pr Tc Cu
2 1 1
Direct
0.000 0.000 0.764 Pr
0.000 0.000 0.236 Pr
0.500 0.500 0.000 Tc
0.500 0.500 0.500 Cu
```

space-group type	P4/mmm, No. 123
magnetic moment	0.0	Bohr magnetons per cell
ΔH_f (0 K)	0.3	eV/f.u.
DOS(E_F)	1.95	states/eV/f.u.


(5)
# CdAsO2

CdAsO2 after structural relaxation (PBE, Alexandria).

POSCAR file:
```
CdAsO2
1.0
1.900 0.000 6.328
-0.950 1.645 6.328
-0.950 -1.645 6.328
As O Cd
1 2 1
Direct
0.000 0.000 0.000 As
0.901 0.901 0.901 O
0.099 0.099 0.099 O
0.500 0.500 0.500 Cd
```

offset from the most stable computed form	0.000	eV/atom
space-group type	R-3m, No. 166
magnetic moment	0.0	Bohr magnetons per cell
DOS(E_F)	0.99	states/eV/f.u.


(6)
# BaDyPd4

BaDyPd4 after structural relaxation (PBE, Alexandria).

POSCAR file:
```
BaDyPd4
1.0
5.589 0.000 0.000
2.795 4.840 0.000
2.795 1.613 4.564
Ba Pd Dy
1 4 1
Direct
0.250 0.250 0.250 Ba
0.626 0.626 0.123 Pd
0.626 0.123 0.626 Pd
0.626 0.626 0.626 Pd
0.123 0.626 0.626 Pd
0.000 0.000 0.000 Dy
```

space-group type	F-43m, No. 216
magnetic moment	0.0	Bohr magnetons per cell
ΔH_f (0 K)	-3.5	eV/f.u.
DOS(E_F)	6.37	states/eV/f.u.


(7)
# ScVZn3

ScVZn3 after structural relaxation (PBE, Alexandria).

POSCAR file:
```
ScVZn3
1.0
4.702 0.000 0.000
0.000 4.702 0.000
0.000 0.000 4.702
Sc Zn V
1 3 1
Direct
0.500 0.500 0.500 Sc
0.000 0.500 0.000 Zn
0.000 0.000 0.500 Zn
0.500 0.000 0.000 Zn
0.000 0.000 0.000 V
```

offset from the most stable computed form	0.000	eV/atom
space-group type	Pm-3m, No. 221
magnetic moment	2.2	Bohr magnetons per cell
ΔH_f (0 K)	2.7	eV/f.u.
DOS(E_F)	3.70	states/eV/f.u.


(8)
# RbMgPb2F8

RbMgPb2F8 after structural relaxation (PBE, Alexandria).

POSCAR file:
```
RbMgPb2F8
1.0
4.860 -0.400 0.263
-0.455 5.515 0.100
0.522 0.177 7.815
Rb Mg Pb F
1 1 2 8
Direct
0.000 0.000 0.500 Rb
0.000 0.000 0.000 Mg
0.415 0.510 0.763 Pb
0.585 0.490 0.237 Pb
0.018 0.738 0.193 F
0.629 0.763 0.984 F
0.854 0.194 0.189 F
0.982 0.262 0.807 F
0.371 0.237 0.016 F
0.146 0.806 0.811 F
0.458 0.720 0.482 F
0.542 0.280 0.518 F
```

space-group type	P-1, No. 2
magnetic moment	0.0	Bohr magnetons per cell
VASP energy	-4.65	eV/atom
DOS(E_F)	4.94	states/eV/f.u.